# PBE-GGA CdSiBr2, relaxed
data_CdSiBr2
_chemical_formula_sum 'Cd1 Si1 Br2'
_cell_length_a 5.401
_cell_length_b 4.089
_cell_length_c 6.185
_cell_angle_alpha 90.00
_cell_angle_beta 114.73
_cell_angle_gamma 90.00
_space_group_name_H-M_alt 'P 1 m 1'
_space_group_IT_number 6
_space_group_name_Hall 'P -2y'
loop_
_atom_site_label
_atom_site_fract_x
_atom_site_fract_y
_atom_site_fract_z
Cd1 0.000 0.000 0.000
Si1 0.605 0.500 0.820
Br1 0.250 0.000 0.597
Br2 0.505 0.500 0.160
# - Raw total energy: -10.35 eV for the cell shown
# - Energy above the lowest structure with this stoichiometry: 0.00 kcal/mol of atoms
# - Formation energy without anion corrections: -0.166 eV per atom

# PBE-GGA Mg3HgOs, relaxed
data_Mg3HgOs
_chemical_formula_sum 'Mg3 Hg1 Os1'
_cell_length_a 5.014
_cell_length_b 5.014
_cell_length_c 5.014
_cell_angle_alpha 90.00
_cell_angle_beta 90.00
_cell_angle_gamma 90.00
_space_group_name_H-M_alt 'P m -3 m'
_space_group_IT_number 221
_space_group_name_Hall '-P 4 2 3'
loop_
_atom_site_label
_atom_site_fract_x
_atom_site_fract_y
_atom_site_fract_z
Mg1 0.000 0.000 0.500
Hg1 0.500 0.500 0.500
Os1 0.000 0.000 0.000
# - Raw total energy: -13.73 eV for the cell shown
# - Energy above the lowest structure with this stoichiometry: 0.00 kcal/mol of atoms

# PBE-GGA MnV2Os, relaxed
data_MnV2Os
_chemical_formula_sum 'Mn1 V2 Os1'
_cell_length_a 2.943
_cell_length_b 2.943
_cell_length_c 5.933
_cell_angle_alpha 90.00
_cell_angle_beta 90.00
_cell_angle_gamma 90.00
_space_group_name_H-M_alt 'P 4/m m m'
_space_group_IT_number 123
_space_group_name_Hall '-P 4 2'
loop_
_atom_site_label
_atom_site_fract_x
_atom_site_fract_y
_atom_site_fract_z
Mn1 0.000 0.000 0.000
V1 0.500 0.500 0.234
Os1 0.000 0.000 0.500
# - Raw total energy: -39.77 eV for the cell shown
# - Energy above the lowest structure with this stoichiometry: 0.00 kcal/mol of atoms

# PBE-GGA LaEr2Ni, relaxed
data_LaEr2Ni
_chemical_formula_sum 'La3 Er6 Ni3'
_cell_length_a 3.8436
_cell_length_b 3.8436
_cell_length_c 26.9410
_cell_angle_alpha 90.00
_cell_angle_beta 90.00
_cell_angle_gamma 120.00
_space_group_name_H-M_alt 'R 3 m'
_space_group_IT_number 160
_space_group_name_Hall 'R 3 -2"'
loop_
_atom_site_label
_atom_site_fract_x
_atom_site_fract_y
_atom_site_fract_z
La1 0.0000 0.0000 0.0000
Er1 0.0000 0.0000 0.2256
Er2 0.0000 0.0000 0.4475
Ni1 0.0000 0.0000 0.8371
# - Raw total energy: -61.09 eV for the cell shown
# - Energy above the lowest structure with this stoichiometry: 1.67 kcal/mol of atoms

# PBE-GGA TaSI3, relaxed
data_TaSI3
_chemical_formula_sum 'Ta4 S4 I12'
_cell_length_a 9.762
_cell_length_b 11.276
_cell_length_c 7.778
_cell_angle_alpha 90.00
_cell_angle_beta 90.00
_cell_angle_gamma 90.00
_space_group_name_H-M_alt 'I m a 2'
_space_group_IT_number 46
_space_group_name_Hall 'I 2 -2a'
loop_
_atom_site_label
_atom_site_fract_x
_atom_site_fract_y
_atom_site_fract_z
Ta1 0.250 0.237 0.000
S1 0.250 0.110 0.783
I1 0.023 0.718 0.020
I2 0.250 0.062 0.255
# - Raw total energy: -92.37 eV for the cell shown
# - Energy above the lowest structure with this stoichiometry: 0.00 kcal/mol of atoms
# - Formation energy without anion corrections: -0.492 eV per atom

# PBE-GGA CaGd2Mg, relaxed
data_CaGd2Mg
_chemical_formula_sum 'Ca1 Gd2 Mg1'
_cell_length_a 5.008
_cell_length_b 5.008
_cell_length_c 5.087
_cell_angle_alpha 90.00
_cell_angle_beta 90.00
_cell_angle_gamma 90.00
_space_group_name_H-M_alt 'P 4/m m m'
_space_group_IT_number 123
_space_group_name_Hall '-P 4 2'
loop_
_atom_site_label
_atom_site_fract_x
_atom_site_fract_y
_atom_site_fract_z
Ca1 0.000 0.000 0.000
Gd1 0.000 0.500 0.500
Mg1 0.500 0.500 0.000
# - Raw total energy: -31.52 eV for the cell shown
# - Energy above the lowest structure with this stoichiometry: 0.96 kcal/mol of atoms

# PBE-GGA Rb2TiInI6, relaxed
data_Rb2TiInI6
_chemical_formula_sum 'Rb2 Ti1 In1 I6'
_cell_length_a 8.393
_cell_length_b 8.423
_cell_length_c 8.438
_cell_angle_alpha 62.97
_cell_angle_beta 63.08
_cell_angle_gamma 63.04
_space_group_name_H-M_alt 'P 1'
_space_group_IT_number 1
_space_group_name_Hall 'P 1'
loop_
_atom_site_label
_atom_site_fract_x
_atom_site_fract_y
_atom_site_fract_z
Rb1 0.000 0.000 0.000
Rb2 0.478 0.472 0.478
Ti1 0.239 0.236 0.239
In1 0.739 0.736 0.739
I1 0.025 0.385 0.543
I2 0.093 0.929 0.450
I3 0.385 0.543 0.029
I4 0.454 0.087 0.935
I5 0.545 0.027 0.388
I6 0.933 0.444 0.091
# - Raw total energy: -31.53 eV for the cell shown
# - Formation energy without anion corrections: -0.966 eV per atom

# PBE-GGA KIO3, relaxed
data_KIO3
_chemical_formula_sum 'K6 I6 O18'
_cell_length_a 6.3079
_cell_length_b 6.3079
_cell_length_c 16.4178
_cell_angle_alpha 90.00
_cell_angle_beta 90.00
_cell_angle_gamma 120.00
_space_group_name_H-M_alt 'R 3 c'
_space_group_IT_number 161
_space_group_name_Hall 'R 3 -2"c'
loop_
_atom_site_label
_atom_site_fract_x
_atom_site_fract_y
_atom_site_fract_z
K1 0.0000 0.0000 0.0000
I1 0.0000 0.0000 0.2439
O1 0.0413 0.4633 0.4617
# - Raw total energy: -133.52 eV for the cell shown
# - Formation energy without anion corrections: -0.946 eV per atom